No. 1
# PBE HoTcMo, relaxed
# DFT total energy ... -8.57 eV/atom
# Energy of formation ... 0.1 eV per formula unit
# Energy above the most stable polymorph in this dataset ... 107 meV per atom
# Total moment ... 0.00 μB per formula unit
data_HoTcMo
_symmetry_space_group_name_H-M 'I 4 m m'
_symmetry_Int_Tables_number 107
_symmetry_space_group_name_Hall 'I 4 -2'
_cell_length_a 3.221
_cell_length_b 3.221
_cell_length_c 10.787
_cell_angle_alpha 90.00
_cell_angle_beta 90.00
_cell_angle_gamma 90.00
loop_
_atom_site_label
_atom_site_fract_x
_atom_site_fract_y
_atom_site_fract_z
Ho1 0.000 0.000 0.000
Tc1 0.000 0.000 0.684
Mo1 0.000 0.000 0.310

---

No. 2
# PBE HoTcMo, relaxed
# DFT total energy ... -8.13 eV/atom
# Energy of formation ... 1.4 eV per formula unit
# Energy above the most stable polymorph in this dataset ... 546 meV per atom
# Total moment ... 0.00 μB per formula unit
data_HoTcMo
_symmetry_space_group_name_H-M 'R -3 m'
_symmetry_Int_Tables_number 166
_symmetry_space_group_name_Hall '-R 3 2"'
_cell_length_a 4.2792
_cell_length_b 4.2792
_cell_length_c 26.0646
_cell_angle_alpha 90.00
_cell_angle_beta 90.00
_cell_angle_gamma 120.00
loop_
_atom_site_label
_atom_site_fract_x
_atom_site_fract_y
_atom_site_fract_z
Ho1 0.0000 0.0000 0.1183
Tc1 0.0000 0.0000 0.2904
Mo1 0.0000 0.0000 0.3896

---

No. 3
# PBE HoTc2Mo, relaxed
# DFT total energy ... -9.02 eV/atom
# Energy of formation ... 0.1 eV per formula unit
# Total moment ... 0.00 μB per formula unit
data_HoTc2Mo
_symmetry_space_group_name_H-M 'P 4/m m m'
_symmetry_Int_Tables_number 123
_symmetry_space_group_name_Hall '-P 4 2'
_cell_length_a 3.201
_cell_length_b 3.201
_cell_length_c 6.810
_cell_angle_alpha 90.00
_cell_angle_beta 90.00
_cell_angle_gamma 90.00
loop_
_atom_site_label
_atom_site_fract_x
_atom_site_fract_y
_atom_site_fract_z
Ho1 0.000 0.000 0.000
Tc1 0.500 0.500 0.282
Mo1 0.000 0.000 0.500

---

No. 4
# PBE HoTcMo, relaxed
# DFT total energy ... -8.67 eV/atom
# Energy of formation ... -0.2 eV per formula unit
# Energy above the most stable polymorph in this dataset ... 0 meV per atom
# Total moment ... 0.00 μB per formula unit
data_HoTcMo
_symmetry_space_group_name_H-M 'I m m a'
_symmetry_Int_Tables_number 74
_symmetry_space_group_name_Hall '-I 2b 2'
_cell_length_a 5.441
_cell_length_b 5.506
_cell_length_c 7.641
_cell_angle_alpha 90.00
_cell_angle_beta 90.00
_cell_angle_gamma 90.00
loop_
_atom_site_label
_atom_site_fract_x
_atom_site_fract_y
_atom_site_fract_z
Ho1 0.000 0.250 0.127
Tc1 0.000 0.000 0.500
Mo1 0.250 0.250 0.750

---

No. 5
# PBE HoThMo4, relaxed
# DFT total energy ... -9.14 eV/atom
# Energy of formation ... 0.5 eV per formula unit
# Total moment ... 0.00 μB per formula unit
data_HoThMo4
_symmetry_space_group_name_H-M 'F -4 3 m'
_symmetry_Int_Tables_number 216
_symmetry_space_group_name_Hall 'F -4 2 3'
_cell_length_a 7.860
_cell_length_b 7.860
_cell_length_c 7.860
_cell_angle_alpha 90.00
_cell_angle_beta 90.00
_cell_angle_gamma 90.00
loop_
_atom_site_label
_atom_site_fract_x
_atom_site_fract_y
_atom_site_fract_z
Ho1 0.000 0.000 0.000
Th1 0.250 0.250 0.750
Mo1 0.125 0.125 0.375

---

No. 6
# PBE HoThMo, relaxed
# DFT total energy ... -7.38 eV/atom
# Energy of formation ... 0.7 eV per formula unit
# Total moment ... 0.00 μB per formula unit
data_HoThMo
_symmetry_space_group_name_H-M 'C 1 2/m 1'
_symmetry_Int_Tables_number 12
_symmetry_space_group_name_Hall '-C 2y'
_cell_length_a 12.965
_cell_length_b 4.209
_cell_length_c 6.070
_cell_angle_alpha 90.00
_cell_angle_beta 95.73
_cell_angle_gamma 90.00
loop_
_atom_site_label
_atom_site_fract_x
_atom_site_fract_y
_atom_site_fract_z
Ho1 0.072 0.000 0.278
Th1 0.148 0.500 0.852
Mo1 0.243 0.000 0.621